! K2TlCuAs, relaxed, DFT PBE; values from VASP
&SYSTEM
  ibrav = 0, nat = 5, ntyp = 4
/
ATOMIC_SPECIES
K 39.10 K.upf
As 74.92 As.upf
Tl 204.38 Tl.upf
Cu 63.55 Cu.upf
CELL_PARAMETERS angstrom
-2.882 4.850 -3.215
-3.869 -2.266 0.049
-1.571 2.806 5.641
ATOMIC_POSITIONS crystal
K 0.000 0.000 0.500
As 0.000 0.000 0.000
K 0.500 0.000 0.000
Tl 0.500 0.500 0.500
Cu 0.000 0.500 0.000
! Energy ... -2.6369 eV per atom
! Calculated formation energy ... 0.0245 eV per atom
! SG ... No. 123